DFT (GGA-PBE) results for AcErPt after structural relaxation.

a = 5.093 Å, b = 5.093 Å, c = 5.093 Å
α = 60.00°, β = 60.00°, γ = 60.00°
Atoms (fractional coordinates):
Ac1 0.000 0.000 0.000
Er1 0.500 0.500 0.500
Pt1 0.250 0.250 0.250

Energy of formation from the pure elements: -0.7103 eV/atom
N(E_F): 2.173 states/eV/cell
Energy relative to the lowest polymorph listed for this composition: 0.1730 eV/atom
Final energy: -5.6144 eV/atom